1.
A relaxed structure of Y3Co. Source: Alexandria, functional PBE.

```
data_Y3Co
_chemical_formula_sum 'Y12 Co4'
_cell_length_a 6.293
_cell_length_b 6.983
_cell_length_c 9.469
_cell_angle_alpha 90.00
_cell_angle_beta 90.00
_cell_angle_gamma 90.00
_space_group_name_H-M_alt 'P 21 21 21'
_space_group_IT_number 19
loop_
_space_group_symop_operation_xyz
'x,y,z'
'-x+1/2,-y,z+1/2'
'x+1/2,-y+1/2,-z'
'-x,y+1/2,-z+1/2'
loop_
_atom_site_label
_atom_site_type_symbol
_atom_site_fract_x
_atom_site_fract_y
_atom_site_fract_z
Y1 Y 0.068 0.176 0.069
Y2 Y 0.077 0.173 0.432
Y3 Y 0.108 0.456 0.749
Co1 Co 0.204 0.888 0.244
```

Values from the calculation:
For the formation energy, the calculation gives -57 kJ/mol of formula units.

=====

2.
A relaxed structure of TlGa2S2. Source: Alexandria, functional PBE.

```
data_TlGa2S2
_chemical_formula_sum 'Tl2 Ga4 S4'
_cell_length_a 4.895
_cell_length_b 4.895
_cell_length_c 9.009
_cell_angle_alpha 90.00
_cell_angle_beta 90.00
_cell_angle_gamma 90.00
_space_group_name_H-M_alt 'I 4/m m m'
_space_group_IT_number 139
_space_group_name_Hall '-I 4 2'
loop_
_atom_site_label
_atom_site_type_symbol
_atom_site_fract_x
_atom_site_fract_y
_atom_site_fract_z
Tl1 Tl 0.000 0.000 0.000
Ga1 Ga 0.000 0.000 0.351
S1 S 0.000 0.500 0.250
```

Values from the calculation:
As for the formation energy without anion corrections: -0.31 eV per atom.

=====

3.
A relaxed structure of Ce2SmTc2. Source: Alexandria, functional PBE.

```
data_Ce2SmTc2
_chemical_formula_sum 'Ce4 Sm2 Tc4'
_cell_length_a 4.546
_cell_length_b 5.976
_cell_length_c 9.694
_cell_angle_alpha 77.78
_cell_angle_beta 80.47
_cell_angle_gamma 70.59
_space_group_name_H-M_alt 'P -1'
_space_group_IT_number 2
loop_
_space_group_symop_operation_xyz
'x,y,z'
'-x,-y,-z'
loop_
_atom_site_label
_atom_site_type_symbol
_atom_site_fract_x
_atom_site_fract_y
_atom_site_fract_z
Ce1 Ce 0.029 0.366 0.194
Ce2 Ce 0.218 0.749 0.423
Sm1 Sm 0.280 0.035 0.868
Tc1 Tc 0.392 0.593 0.123
Tc2 Tc 0.448 0.811 0.604
```

Values from the calculation:
For the formation energy, the calculation gives -29 kJ/mol of formula units. Its energy above the most stable polymorph in this dataset is 0.0000 eV/atom.

=====

4.
A relaxed structure of YbGe2Pt. Source: Alexandria, functional PBE.

```
data_YbGe2Pt
_chemical_formula_sum 'Yb8 Ge16 Pt8'
_cell_length_a 4.397
_cell_length_b 8.895
_cell_length_c 16.249
_cell_angle_alpha 90.00
_cell_angle_beta 90.00
_cell_angle_gamma 90.00
_space_group_name_H-M_alt 'I m m m'
_space_group_IT_number 71
_space_group_name_Hall '-I 2 2'
loop_
_atom_site_label
_atom_site_type_symbol
_atom_site_fract_x
_atom_site_fract_y
_atom_site_fract_z
Yb1 Yb 0.000 0.000 0.203
Yb2 Yb 0.000 0.242 0.000
Ge1 Ge 0.000 0.000 0.423
Ge2 Ge 0.000 0.351 0.198
Ge3 Ge 0.000 0.500 0.425
Pt1 Pt 0.000 0.251 0.352
```

Values from the calculation:
For the formation energy, the calculation gives -307 kJ/mol of formula units.

=====

5.
A relaxed structure of Zn2Rh3. Source: Alexandria, functional PBE.

```
data_Zn2Rh3
_chemical_formula_sum 'Zn4 Rh6'
_cell_length_a 2.937
_cell_length_b 2.937
_cell_length_c 16.127
_cell_angle_alpha 90.00
_cell_angle_beta 90.00
_cell_angle_gamma 90.00
_space_group_name_H-M_alt 'P 4/m m m'
_space_group_IT_number 123
_space_group_name_Hall '-P 4 2'
loop_
_atom_site_label
_atom_site_type_symbol
_atom_site_fract_x
_atom_site_fract_y
_atom_site_fract_z
Zn1 Zn 0.000 0.000 0.097
Zn2 Zn 0.000 0.000 0.292
Rh1 Rh 0.000 0.000 0.500
Rh2 Rh 0.500 0.500 0.000
Rh3 Rh 0.500 0.500 0.195
Rh4 Rh 0.500 0.500 0.392
```

Values from the calculation:
For the formation energy, the calculation gives -125 kJ/mol of formula units. Its energy above the most stable polymorph in this dataset is 0.0000 eV/atom.

=====

6.
A relaxed structure of Er2Sc13. Source: Alexandria, functional PBE.

```
data_Er2Sc13
_chemical_formula_sum 'Er2 Sc13'
_cell_length_a 6.088
_cell_length_b 8.277
_cell_length_c 8.297
_cell_angle_alpha 66.08
_cell_angle_beta 80.98
_cell_angle_gamma 81.45
_space_group_name_H-M_alt 'P -1'
_space_group_IT_number 2
loop_
_space_group_symop_operation_xyz
'x,y,z'
'-x,-y,-z'
loop_
_atom_site_label
_atom_site_type_symbol
_atom_site_fract_x
_atom_site_fract_y
_atom_site_fract_z
Er1 Er 0.085 0.300 0.420
Sc1 Sc 0.000 0.500 0.000
Sc2 Sc 0.110 0.949 0.748
Sc3 Sc 0.192 0.715 0.184
Sc4 Sc 0.289 0.121 0.987
Sc5 Sc 0.338 0.440 0.656
Sc6 Sc 0.395 0.902 0.399
Sc7 Sc 0.484 0.669 0.839
```

Values from the calculation:
For the formation energy, the calculation gives 91 kJ/mol of formula units.

=====

7.
A relaxed structure of CrNiSeN2. Source: Alexandria, functional PBE.

```
data_CrNiSeN2
_chemical_formula_sum 'Cr1 Ni1 Se1 N2'
_cell_length_a 3.699
_cell_length_b 3.699
_cell_length_c 5.091
_cell_angle_alpha 90.00
_cell_angle_beta 90.00
_cell_angle_gamma 90.00
_space_group_name_H-M_alt 'P 4/m m m'
_space_group_IT_number 123
_space_group_name_Hall '-P 4 2'
loop_
_atom_site_label
_atom_site_type_symbol
_atom_site_fract_x
_atom_site_fract_y
_atom_site_fract_z
Cr1 Cr 0.000 0.000 0.000
Ni1 Ni 0.500 0.500 0.500
Se1 Se 0.500 0.500 0.000
N1 N 0.000 0.500 0.500
```

Values from the calculation:
As for the formation energy without anion corrections: 1.06 eV per atom. Its energy above the most stable polymorph in this dataset is 0.4893 eV/atom.

=====

8.
A relaxed structure of La15In4Sn. Source: Alexandria, functional PBE.

```
data_La15In4Sn
_chemical_formula_sum 'La15 In4 Sn1'
_cell_length_a 5.060
_cell_length_b 5.060
_cell_length_c 25.274
_cell_angle_alpha 90.00
_cell_angle_beta 90.00
_cell_angle_gamma 90.00
_space_group_name_H-M_alt 'P 4/m m m'
_space_group_IT_number 123
_space_group_name_Hall '-P 4 2'
loop_
_atom_site_label
_atom_site_type_symbol
_atom_site_fract_x
_atom_site_fract_y
_atom_site_fract_z
La1 La 0.000 0.000 0.000
La2 La 0.000 0.000 0.200
La3 La 0.000 0.000 0.400
La4 La 0.000 0.500 0.098
La5 La 0.000 0.500 0.300
La6 La 0.000 0.500 0.500
In1 In 0.500 0.500 0.199
In2 In 0.500 0.500 0.400
Sn1 Sn 0.500 0.500 0.000
```

Values from the calculation:
For the formation energy, the calculation gives -655 kJ/mol of formula units.

=====

9.
A relaxed structure of Al3TlGa. Source: Alexandria, functional PBE.

```
data_Al3TlGa
_chemical_formula_sum 'Al3 Tl1 Ga1'
_cell_length_a 5.299
_cell_length_b 5.299
_cell_length_c 5.299
_cell_angle_alpha 90.00
_cell_angle_beta 90.00
_cell_angle_gamma 90.00
_space_group_name_H-M_alt 'P m -3 m'
_space_group_IT_number 221
_space_group_name_Hall '-P 4 2 3'
loop_
_atom_site_label
_atom_site_type_symbol
_atom_site_fract_x
_atom_site_fract_y
_atom_site_fract_z
Al1 Al 0.000 0.000 0.500
Tl1 Tl 0.000 0.000 0.000
Ga1 Ga 0.500 0.500 0.500
```

Values from the calculation:
For the formation energy, the calculation gives 453 kJ/mol of formula units. Its energy above the most stable polymorph in this dataset is 0.4541 eV/atom.

=====

10.
A relaxed structure of SrMgZn2F8. Source: Alexandria, functional PBE.

```
data_SrMgZn2F8
_chemical_formula_sum 'Sr1 Mg1 Zn2 F8'
_cell_length_a 4.929
_cell_length_b 6.746
_cell_length_c 4.934
_cell_angle_alpha 90.00
_cell_angle_beta 92.78
_cell_angle_gamma 90.00
_space_group_name_H-M_alt 'P 1 2/m 1'
_space_group_IT_number 10
loop_
_space_group_symop_operation_xyz
'x,y,z'
'-x,-y,-z'
'-x,y,-z'
'x,-y,z'
loop_
_atom_site_label
_atom_site_type_symbol
_atom_site_fract_x
_atom_site_fract_y
_atom_site_fract_z
Sr1 Sr 0.000 0.000 0.000
Mg1 Mg 0.000 0.500 0.000
Zn1 Zn 0.500 0.266 0.500
F1 F 0.201 0.287 0.210
F2 F 0.301 0.500 0.706
F3 F 0.337 0.000 0.676
```

Values from the calculation:
As for the formation energy without anion corrections: -2.97 eV per atom.

=====

11.
A relaxed structure of Pr3GaSi2. Source: Alexandria, functional PBE.

```
data_Pr3GaSi2
_chemical_formula_sum 'Pr12 Ga4 Si8'
_cell_length_a 12.018
_cell_length_b 4.238
_cell_length_c 12.134
_cell_angle_alpha 90.00
_cell_angle_beta 90.00
_cell_angle_gamma 90.00
_space_group_name_H-M_alt 'P n m a'
_space_group_IT_number 62
loop_
_space_group_symop_operation_xyz
'x,y,z'
'-x,-y,-z'
'-x+1/2,-y,z+1/2'
'x+1/2,y,-z+1/2'
'x+1/2,-y+1/2,-z+1/2'
'-x+1/2,y+1/2,z+1/2'
'-x,y+1/2,-z'
'x,-y+1/2,z'
loop_
_atom_site_label
_atom_site_type_symbol
_atom_site_fract_x
_atom_site_fract_y
_atom_site_fract_z
Pr1 Pr 0.060 0.250 0.119
Pr2 Pr 0.122 0.750 0.560
Pr3 Pr 0.198 0.250 0.798
Ga1 Ga 0.134 0.250 0.366
Si1 Si 0.027 0.750 0.316
Si2 Si 0.190 0.750 0.988
```

Values from the calculation:
As for the formation energy without anion corrections: -0.63 eV per atom.

=====

12.
A relaxed structure of Tm2ThSc. Source: Alexandria, functional PBE.

```
data_Tm2ThSc
_chemical_formula_sum 'Tm6 Th3 Sc3'
_cell_length_a 3.4788
_cell_length_b 3.4788
_cell_length_c 33.5601
_cell_angle_alpha 90.00
_cell_angle_beta 90.00
_cell_angle_gamma 120.00
_space_group_name_H-M_alt 'R 3 m'
_space_group_IT_number 160
_space_group_name_Hall 'R 3 -2"'
loop_
_atom_site_label
_atom_site_type_symbol
_atom_site_fract_x
_atom_site_fract_y
_atom_site_fract_z
Tm1 Tm 0.0000 0.0000 0.0000
Tm2 Tm 0.0000 0.0000 0.1738
Th1 Th 0.0000 0.0000 0.4211
Sc1 Sc 0.0000 0.0000 0.5864
```

Values from the calculation:
For the formation energy, the calculation gives 22 kJ/mol of formula units. Its energy above the most stable polymorph in this dataset is 0.0211 eV/atom.